DyZrMn2: optimized geometry, PBE.

The space group is P4/mmm (No. 123) and the conventional cell measures 4.817, 4.817 and 3.323 Å, with angles of 90.00, 90.00 and 90.00 degrees. The asymmetric unit holds Dy at (0.000, 0.000, 0.000), Zr at (0.500, 0.500, 0.000) and Mn at (0.000, 0.500, 0.500).

The density of states at the Fermi level comes out at 6.55 states/eV/f.u. For the calculated formation energy, the calculation gives 16.6 kJ per mole of atoms. The calculation puts the total energy at -30.8 eV/cell. The calculated volume comes out at 19.27 A^3/atom.